1.
DFT (PBE-GGA) results for a relaxed AcTbErPu crystal. Values from VASP.

The structure in Quantum ESPRESSO input format:
```
&SYSTEM
  ibrav = 0, nat = 4, ntyp = 4
/
ATOMIC_SPECIES
Ac 227.00 Ac.upf
Tb 158.93 Tb.upf
Er 167.26 Er.upf
Pu 244.00 Pu.upf
ATOMIC_POSITIONS crystal
Ac 0.000 0.000 0.000
Tb 0.250 0.250 0.250
Er 0.750 0.750 0.750
Pu 0.500 0.500 0.500
CELL_PARAMETERS angstrom
0.000 4.083 4.083
4.083 0.000 4.083
4.083 4.083 0.000
```

Computed properties:
* formation energy from the elements: 253 meV/atom
* total magnetization: 6.3 μB per formula unit
* symmetry: F-43m (216)
* DOS at the Fermi energy: 14.56 states/eV/cell

=====

2.
DFT (PBE-GGA) results for a relaxed Ac3Er3PuTe8 crystal. Values from VASP.

The structure in Quantum ESPRESSO input format:
```
&SYSTEM
  ibrav = 0, nat = 15, ntyp = 4
/
ATOMIC_SPECIES
Ac 227.00 Ac.upf
Er 167.26 Er.upf
Pu 244.00 Pu.upf
Te 127.60 Te.upf
ATOMIC_POSITIONS crystal
Ac 0.000 0.500 0.500
Ac 0.500 0.000 0.500
Ac 0.500 0.500 0.000
Er 0.000 0.000 0.500
Er 0.000 0.500 0.000
Er 0.500 0.000 0.000
Pu 0.500 0.500 0.500
Te 0.229 0.752 0.752
Te 0.240 0.240 0.240
Te 0.248 0.248 0.771
Te 0.248 0.771 0.248
Te 0.752 0.229 0.752
Te 0.752 0.752 0.229
Te 0.760 0.760 0.760
Te 0.771 0.248 0.248
CELL_PARAMETERS angstrom
4.459 2.574 7.527
-4.459 2.574 7.527
0.000 -5.149 7.527
```

Computed properties:
* total magnetization: 6.2 μB per formula unit
* raw formation energy: -131 kJ/mol of atoms
* symmetry: R-3m (166)
* DOS at the Fermi energy: 20.17 states/eV/cell

=====

3.
DFT (PBE-GGA) results for a relaxed AcErPuTh crystal. Values from VASP.

The structure in Quantum ESPRESSO input format:
```
&SYSTEM
  ibrav = 0, nat = 4, ntyp = 4
/
ATOMIC_SPECIES
Ac 227.00 Ac.upf
Er 167.26 Er.upf
Pu 244.00 Pu.upf
Th 232.04 Th.upf
ATOMIC_POSITIONS crystal
Ac 0.000 0.000 0.000
Er 0.250 0.250 0.250
Pu 0.500 0.500 0.500
Th 0.750 0.750 0.750
CELL_PARAMETERS angstrom
0.000 4.065 4.065
4.065 0.000 4.065
4.065 4.065 0.000
```

Computed properties:
* formation energy from the elements: 328 meV/atom
* total magnetization: 8.1 μB per formula unit
* symmetry: F-43m (216)
* DOS at the Fermi energy: 15.21 states/eV/cell

=====

4.
DFT (PBE-GGA) results for a relaxed AcErPuTl crystal. Values from VASP.

The structure in Quantum ESPRESSO input format:
```
&SYSTEM
  ibrav = 0, nat = 4, ntyp = 4
/
ATOMIC_SPECIES
Ac 227.00 Ac.upf
Er 167.26 Er.upf
Pu 244.00 Pu.upf
Tl 204.38 Tl.upf
ATOMIC_POSITIONS crystal
Ac 0.000 0.000 0.000
Er 0.250 0.250 0.250
Pu 0.750 0.750 0.750
Tl 0.500 0.500 0.500
CELL_PARAMETERS angstrom
0.000 3.950 3.950
3.950 0.000 3.950
3.950 3.950 0.000
```

Computed properties:
* formation energy from the elements: 165 meV/atom
* total magnetization: 7.1 μB per formula unit
* symmetry: F-43m (216)
* DOS at the Fermi energy: 12.25 states/eV/cell

=====

5.
DFT (PBE-GGA) results for a relaxed Rb2AcErS4 crystal. Values from VASP.

The structure in Quantum ESPRESSO input format:
```
&SYSTEM
  ibrav = 0, nat = 8, ntyp = 4
/
ATOMIC_SPECIES
Rb 85.47 Rb.upf
Ac 227.00 Ac.upf
Er 167.26 Er.upf
S 32.06 S.upf
ATOMIC_POSITIONS crystal
Rb 0.000 0.000 0.000
Rb 0.500 0.500 0.000
Ac 0.000 0.500 0.500
Er 0.500 0.000 0.500
S 0.254 0.000 0.700
S 0.287 0.500 0.308
S 0.713 0.500 0.692
S 0.746 0.000 0.300
CELL_PARAMETERS angstrom
7.380 0.000 0.000
0.000 4.255 0.000
-2.439 0.000 7.722
```

Computed properties:
* total magnetization: 0.0 μB per formula unit
* raw formation energy: -177 kJ/mol of atoms
* symmetry: P2/m (10)
* DOS at the Fermi energy: 0.00 states/eV/cell

=====

6.
DFT (PBE-GGA) results for a relaxed Rb3Ac2ErS6 crystal. Values from VASP.

The structure in Quantum ESPRESSO input format:
```
&SYSTEM
  ibrav = 0, nat = 12, ntyp = 4
/
ATOMIC_SPECIES
Rb 85.47 Rb.upf
Ac 227.00 Ac.upf
Er 167.26 Er.upf
S 32.06 S.upf
ATOMIC_POSITIONS crystal
Rb 0.000 0.000 0.000
Rb 0.333 0.667 0.000
Rb 0.667 0.333 0.000
Ac 0.167 0.833 0.500
Ac 0.833 0.167 0.500
Er 0.500 0.500 0.500
S 0.122 0.434 0.302
S 0.254 0.254 0.698
S 0.434 0.122 0.302
S 0.566 0.878 0.698
S 0.746 0.746 0.302
S 0.878 0.566 0.698
CELL_PARAMETERS angstrom
3.746 -6.489 0.000
3.746 6.489 0.000
-2.502 0.000 7.728
```

Computed properties:
* total magnetization: 0.0 μB per formula unit
* raw formation energy: -179 kJ/mol of atoms
* symmetry: C2/m (12)
* DOS at the Fermi energy: 0.00 states/eV/cell

=====

7.
DFT (PBE-GGA) results for a relaxed Rb4Ac3ErSe8 crystal. Values from VASP.

The structure in Quantum ESPRESSO input format:
```
&SYSTEM
  ibrav = 0, nat = 16, ntyp = 4
/
ATOMIC_SPECIES
Rb 85.47 Rb.upf
Ac 227.00 Ac.upf
Er 167.26 Er.upf
Se 78.96 Se.upf
ATOMIC_POSITIONS crystal
Rb 0.000 0.000 0.000
Rb 0.000 0.500 0.500
Rb 0.500 0.000 0.500
Rb 0.500 0.500 0.000
Ac 0.000 0.000 0.500
Ac 0.000 0.500 0.000
Ac 0.500 0.000 0.000
Er 0.500 0.500 0.500
Se 0.237 0.237 0.237
Se 0.252 0.724 0.724
Se 0.276 0.276 0.748
Se 0.276 0.748 0.276
Se 0.724 0.252 0.724
Se 0.724 0.724 0.252
Se 0.748 0.276 0.276
Se 0.763 0.763 0.763
CELL_PARAMETERS angstrom
4.513 2.605 8.046
-4.513 2.605 8.046
0.000 -5.211 8.046
```

Computed properties:
* total magnetization: 0.0 μB per formula unit
* raw formation energy: -171 kJ/mol of atoms
* symmetry: R-3m (166)
* DOS at the Fermi energy: 0.00 states/eV/cell

=====

8.
DFT (PBE-GGA) results for a relaxed Rb3Ac3ErSe8 crystal. Values from VASP.

The structure in Quantum ESPRESSO input format:
```
&SYSTEM
  ibrav = 0, nat = 15, ntyp = 4
/
ATOMIC_SPECIES
Rb 85.47 Rb.upf
Ac 227.00 Ac.upf
Er 167.26 Er.upf
Se 78.96 Se.upf
ATOMIC_POSITIONS crystal
Rb 0.000 0.000 0.000
Rb 0.000 0.500 0.000
Rb 0.500 0.000 0.000
Ac 0.000 0.500 0.500
Ac 0.500 0.000 0.500
Ac 0.500 0.500 0.500
Er 0.000 0.000 0.500
Se 0.220 0.220 0.693
Se 0.220 0.754 0.693
Se 0.246 0.780 0.307
Se 0.263 0.263 0.291
Se 0.737 0.737 0.709
Se 0.754 0.220 0.693
Se 0.780 0.246 0.307
Se 0.780 0.780 0.307
CELL_PARAMETERS angstrom
7.827 -4.514 0.000
7.827 4.514 0.000
-5.224 0.000 8.121
```

Computed properties:
* total magnetization: 0.0 μB per formula unit
* raw formation energy: -163 kJ/mol of atoms
* symmetry: C2/m (12)
* DOS at the Fermi energy: 18.38 states/eV/cell

=====

9.
DFT (PBE-GGA) results for a relaxed Rb4AcEr3Te8 crystal. Values from VASP.

The structure in Quantum ESPRESSO input format:
```
&SYSTEM
  ibrav = 0, nat = 16, ntyp = 4
/
ATOMIC_SPECIES
Rb 85.47 Rb.upf
Ac 227.00 Ac.upf
Er 167.26 Er.upf
Te 127.60 Te.upf
ATOMIC_POSITIONS crystal
Rb 0.000 0.000 0.000
Rb 0.000 0.500 0.500
Rb 0.500 0.000 0.500
Rb 0.500 0.500 0.000
Ac 0.500 0.500 0.500
Er 0.000 0.000 0.500
Er 0.000 0.500 0.000
Er 0.500 0.000 0.000
Te 0.216 0.743 0.743
Te 0.232 0.232 0.232
Te 0.257 0.257 0.784
Te 0.257 0.784 0.257
Te 0.743 0.216 0.743
Te 0.743 0.743 0.216
Te 0.768 0.768 0.768
Te 0.784 0.257 0.257
CELL_PARAMETERS angstrom
4.599 2.655 8.563
-4.599 2.655 8.563
0.000 -5.311 8.563
```

Computed properties:
* total magnetization: 0.0 μB per formula unit
* raw formation energy: -134 kJ/mol of atoms
* symmetry: R-3m (166)
* DOS at the Fermi energy: 0.00 states/eV/cell

=====

10.
DFT (PBE-GGA) results for a relaxed Rb3Ac3ErTe8 crystal. Values from VASP.

The structure in Quantum ESPRESSO input format:
```
&SYSTEM
  ibrav = 0, nat = 15, ntyp = 4
/
ATOMIC_SPECIES
Rb 85.47 Rb.upf
Ac 227.00 Ac.upf
Er 167.26 Er.upf
Te 127.60 Te.upf
ATOMIC_POSITIONS crystal
Rb 0.000 0.000 0.000
Rb 0.000 0.500 0.000
Rb 0.500 0.000 0.000
Ac 0.000 0.500 0.500
Ac 0.500 0.000 0.500
Ac 0.500 0.500 0.500
Er 0.000 0.000 0.500
Te 0.223 0.223 0.700
Te 0.223 0.755 0.700
Te 0.245 0.777 0.300
Te 0.262 0.262 0.285
Te 0.738 0.738 0.715
Te 0.755 0.223 0.700
Te 0.777 0.245 0.300
Te 0.777 0.777 0.300
CELL_PARAMETERS angstrom
8.253 -4.758 0.000
8.253 4.758 0.000
-5.510 0.000 8.760
```

Computed properties:
* total magnetization: 0.0 μB per formula unit
* raw formation energy: -131 kJ/mol of atoms
* symmetry: C2/m (12)
* DOS at the Fermi energy: 15.02 states/eV/cell

=====

11.
DFT (PBE-GGA) results for a relaxed Rb2AcErTe4 crystal. Values from VASP.

The structure in Quantum ESPRESSO input format:
```
&SYSTEM
  ibrav = 0, nat = 8, ntyp = 4
/
ATOMIC_SPECIES
Rb 85.47 Rb.upf
Ac 227.00 Ac.upf
Er 167.26 Er.upf
Te 127.60 Te.upf
ATOMIC_POSITIONS crystal
Rb 0.000 0.000 0.000
Rb 0.500 0.500 0.000
Ac 0.000 0.500 0.500
Er 0.500 0.000 0.500
Te 0.255 0.000 0.709
Te 0.284 0.500 0.300
Te 0.716 0.500 0.700
Te 0.745 0.000 0.291
CELL_PARAMETERS angstrom
8.142 0.000 0.000
0.000 4.689 0.000
-2.699 0.000 8.581
```

Computed properties:
* total magnetization: 0.0 μB per formula unit
* raw formation energy: -136 kJ/mol of atoms
* symmetry: P2/m (10)
* DOS at the Fermi energy: 0.00 states/eV/cell

=====

12.
DFT (PBE-GGA) results for a relaxed AcEr2Re crystal. Values from VASP.

The structure in Quantum ESPRESSO input format:
```
&SYSTEM
  ibrav = 0, nat = 4, ntyp = 3
/
ATOMIC_SPECIES
Ac 227.00 Ac.upf
Er 167.26 Er.upf
Re 186.21 Re.upf
ATOMIC_POSITIONS crystal
Ac 0.000 0.000 0.000
Er 0.424 0.424 0.424
Er 0.576 0.576 0.576
Re 0.500 0.500 0.500
CELL_PARAMETERS angstrom
1.687 0.974 11.495
-1.687 0.974 11.495
0.000 -1.948 11.495
```

Computed properties:
* formation energy from the elements: 945 meV/atom
* total magnetization: 0.0 μB per formula unit
* symmetry: R-3m (166)
* DOS at the Fermi energy: 5.54 states/eV/cell